4
Lattice="-0.422 -2.071 2.087 -1.609 -2.811 -3.116 4.430 -0.741 0.160" Properties=species:S:1:pos:R:3 comment="ReSi2Se, relaxed, DFT PBEsol" formation_energy_uncorrected_ev_per_atom=0.401 pbc="T T T"
Si -0.804 -1.406 -1.558
Si 2.215 -0.371 0.080
Se -0.211 -1.035 1.043
Re 1.200 -2.812 -0.434

---

5
Lattice="5.080 0.000 0.000 0.000 5.080 0.000 0.000 0.000 5.080" Properties=species:S:1:pos:R:3 comment="AlIn3Re, relaxed, DFT PBEsol" formation_energy_ev_per_atom=1.53 pbc="T T T"
In 0.000 2.540 0.000
In 2.540 0.000 0.000
In 0.000 0.000 2.540
Al 0.000 0.000 0.000
Re 2.540 2.540 2.540

---

4
Lattice="2.714 0.000 0.000 0.000 4.164 0.000 0.000 0.000 5.788" Properties=species:S:1:pos:R:3 comment="AlW2Cl, relaxed, DFT PBEsol" relative_energy_mev_per_atom=148 formation_energy_uncorrected_ev_per_atom=0.540 pbc="T T T"
Cl 1.357 2.082 4.703
Al 0.000 0.000 2.710
W 0.000 0.000 5.736
W 1.357 2.082 1.321

---

6
Lattice="5.495 -0.132 -0.198 -2.566 4.861 0.198 -2.566 -1.683 4.565" Properties=species:S:1:pos:R:3 comment="ScAu2, relaxed, DFT PBEsol" formation_energy_ev_per_atom=-0.46 pbc="T T T"
Sc -1.283 0.795 1.191
Sc -3.848 2.384 3.572
Au -2.078 0.196 3.837
Au 1.465 0.184 1.455
Au 2.442 2.851 0.728
Au -1.101 2.862 3.110